[1]
A PBEsol-optimized structure of Nb2SbPdRu, computed with SCAN.

The structure in POSCAR format:
```
Nb2SbPdRu
1.0
4.609 0.000 0.000
0.000 4.977 0.000
0.000 0.000 4.977
Sb Ru Nb Pd
1 1 2 1
Direct
0.000 0.000 0.000
0.500 0.500 0.500
0.000 0.000 0.500
0.000 0.500 0.000
0.500 0.000 0.000
```

Output
**ΔE_f (raw)**: 1569 meV/atom
**Space-group type**: No. 123
**E_tot**: -32.656 eV/atom

***

[2]
A PBEsol-optimized structure of NbPdS2, computed with SCAN.

The structure in POSCAR format:
```
NbPdS2
1.0
-3.826 1.776 1.083
-3.216 0.197 -2.930
-3.520 -2.523 0.457
S Pd Nb
2 1 1
Direct
0.250 0.250 0.250
0.750 0.750 0.750
0.500 0.500 0.500
0.000 0.000 0.000
```

Output
**ΔE_f (raw)**: -354 meV/atom
**Space-group type**: No. 225
**E_tot**: -21.644 eV/atom